## AcNiH2F8 (PBE with a Hubbard U)

Data for AcNiH2F8 after structural relaxation.

The total energy comes out at -4.7714 eV per atom.

```
data_AcNiH2F8
_space_group_name_H-M_alt 'P -1'
_space_group_IT_number 2
_space_group_name_Hall '-P 1'
_cell_length_a 4.4454
_cell_length_b 4.7060
_cell_length_c 7.6241
_cell_angle_alpha 85.74
_cell_angle_beta 84.14
_cell_angle_gamma 69.06
loop_
_atom_site_label
_atom_site_fract_x
_atom_site_fract_y
_atom_site_fract_z
Ac1 0.0000 0.0000 0.0000
Ni1 0.0000 0.0000 0.5000
H1 0.4550 0.2495 0.3740
F1 0.2274 0.2622 0.4704
F2 0.2295 0.8047 0.3072
F3 0.3027 0.7661 0.6895
F4 0.3289 0.3072 0.0148
```